Entry 1:
# BeHg (PBE, optimized geometry)
# Distance to the lowest polymorph of the same formula   0.122 eV per formula unit
# Formation enthalpy at 0 K   0.356 eV/atom
# Magnetic moment   0.00 μB/f.u.
# Uncorrected energy   -1.66 eV/atom
data_BeHg
_cell_length_a 2.7707
_cell_length_b 9.8661
_cell_length_c 7.3129
_cell_angle_alpha 90.00
_cell_angle_beta 90.00
_cell_angle_gamma 90.00
_symmetry_space_group_name_H-M 'I m m 2'
_symmetry_Int_Tables_number 44
loop_
_symmetry_equiv_pos_as_xyz
'x,y,z'
'-x,-y,z'
'-x,y,z'
'x,-y,z'
'x+1/2,y+1/2,z+1/2'
'-x+1/2,-y+1/2,z+1/2'
'-x+1/2,y+1/2,z+1/2'
'x+1/2,-y+1/2,z+1/2'
loop_
_atom_site_label
_atom_site_type_symbol
_atom_site_fract_x
_atom_site_fract_y
_atom_site_fract_z
Be1 Be 0.0000 0.0000 0.0000
Be2 Be 0.0000 0.3822 0.3124
Hg1 Hg 0.0000 0.0000 0.5224
Hg2 Hg 0.0000 0.3119 0.6785



Entry 2:
# Tl3C (PBE, optimized geometry)
# Distance to the lowest polymorph of the same formula   0.000 eV per formula unit
# Formation enthalpy at 0 K   0.586 eV/atom
# Magnetic moment   0.00 μB/f.u.
# Uncorrected energy   -3.50 eV/atom
data_Tl3C
_cell_length_a 10.0846
_cell_length_b 18.1445
_cell_length_c 2.8116
_cell_angle_alpha 90.00
_cell_angle_beta 90.00
_cell_angle_gamma 90.00
_symmetry_space_group_name_H-M 'C m c m'
_symmetry_Int_Tables_number 63
_symmetry_space_group_name_Hall '-C 2c 2'
loop_
_atom_site_label
_atom_site_type_symbol
_atom_site_fract_x
_atom_site_fract_y
_atom_site_fract_z
Tl1 Tl 0.0000 0.1679 0.2500
Tl2 Tl 0.1712 0.3374 0.2500
C1 C 0.0000 0.4995 0.2500



Entry 3:
# YEr2Ga4 (PBE, optimized geometry)
# Formation enthalpy at 0 K   -0.639 eV/atom
# Magnetic moment   0.00 μB/f.u.
# Uncorrected energy   -4.60 eV/atom
data_YEr2Ga4
_cell_length_a 4.1145
_cell_length_b 4.2265
_cell_length_c 18.1216
_cell_angle_alpha 90.00
_cell_angle_beta 90.00
_cell_angle_gamma 90.00
_symmetry_space_group_name_H-M 'I m m m'
_symmetry_Int_Tables_number 71
_symmetry_space_group_name_Hall '-I 2 2'
loop_
_atom_site_label
_atom_site_type_symbol
_atom_site_fract_x
_atom_site_fract_y
_atom_site_fract_z
Y1 Y 0.0000 0.0000 0.0000
Er1 Er 0.0000 0.5000 0.3148
Ga1 Ga 0.0000 0.0000 0.4326
Ga2 Ga 0.0000 0.5000 0.1477



Entry 4:
# AlMoOs (PBE, optimized geometry)
# Distance to the lowest polymorph of the same formula   1.003 eV per formula unit
# Formation enthalpy at 0 K   0.028 eV/atom
# Magnetic moment   0.00 μB/f.u.
# Uncorrected energy   -8.57 eV/atom
data_AlMoOs
_cell_length_a 3.0045
_cell_length_b 4.6166
_cell_length_c 13.0044
_cell_angle_alpha 90.00
_cell_angle_beta 90.00
_cell_angle_gamma 90.00
_symmetry_space_group_name_H-M 'F m m 2'
_symmetry_Int_Tables_number 42
_symmetry_space_group_name_Hall 'F 2 -2'
loop_
_atom_site_label
_atom_site_type_symbol
_atom_site_fract_x
_atom_site_fract_y
_atom_site_fract_z
Al1 Al 0.0000 0.0000 0.0000
Mo1 Mo 0.0000 0.0000 0.6714
Os1 Os 0.0000 0.0000 0.3386



Entry 5:
# As2Pd3Pt2 (PBE, optimized geometry)
# Formation enthalpy at 0 K   -0.216 eV/atom
# Magnetic moment   0.00 μB/f.u.
# Uncorrected energy   -5.50 eV/atom
data_As2Pd3Pt2
_cell_length_a 3.6988
_cell_length_b 5.0975
_cell_length_c 6.5389
_cell_angle_alpha 77.04
_cell_angle_beta 89.55
_cell_angle_gamma 69.31
_symmetry_space_group_name_H-M 'P -1'
_symmetry_Int_Tables_number 2
loop_
_symmetry_equiv_pos_as_xyz
'x,y,z'
'-x,-y,-z'
loop_
_atom_site_label
_atom_site_type_symbol
_atom_site_fract_x
_atom_site_fract_y
_atom_site_fract_z
As1 As 0.1996 0.1121 0.1929
Pd1 Pd 0.3676 0.7557 0.5715
Pd2 Pd 0.5000 0.5000 0.0000
Pt1 Pt 0.1157 0.2675 0.7646



Entry 6:
# TiBiHPd2 (PBE, optimized geometry)
# Magnetic moment   0.00 μB/f.u.
# Uncorrected energy   -5.39 eV/atom
data_TiBiHPd2
_cell_length_a 4.0741
_cell_length_b 4.0741
_cell_length_c 4.4664
_cell_angle_alpha 90.00
_cell_angle_beta 90.00
_cell_angle_gamma 90.00
_symmetry_space_group_name_H-M 'P 4/m m m'
_symmetry_Int_Tables_number 123
_symmetry_space_group_name_Hall '-P 4 2'
loop_
_atom_site_label
_atom_site_type_symbol
_atom_site_fract_x
_atom_site_fract_y
_atom_site_fract_z
Ti1 Ti 0.0000 0.0000 0.0000
Bi1 Bi 0.5000 0.5000 0.0000
H1 H 0.0000 0.0000 0.5000
Pd1 Pd 0.0000 0.5000 0.5000



Entry 7:
# LiMn2Co (PBE, optimized geometry)
# Distance to the lowest polymorph of the same formula   0.066 eV per formula unit
# Formation enthalpy at 0 K   0.196 eV/atom
# Magnetic moment   2.12 μB/f.u.
# Uncorrected energy   -6.64 eV/atom
data_LiMn2Co
_cell_length_a 2.7394
_cell_length_b 4.0703
_cell_length_c 8.4150
_cell_angle_alpha 90.00
_cell_angle_beta 90.00
_cell_angle_gamma 90.00
_symmetry_space_group_name_H-M 'C m m 2'
_symmetry_Int_Tables_number 35
loop_
_symmetry_equiv_pos_as_xyz
'x,y,z'
'-x,-y,z'
'-x,y,z'
'x,-y,z'
'x+1/2,y+1/2,z'
'-x+1/2,-y+1/2,z'
'-x+1/2,y+1/2,z'
'x+1/2,-y+1/2,z'
loop_
_atom_site_label
_atom_site_type_symbol
_atom_site_fract_x
_atom_site_fract_y
_atom_site_fract_z
Li1 Li 0.0000 0.0000 0.0000
Mn1 Mn 0.0000 0.0000 0.5043
Mn2 Mn 0.0000 0.5000 0.2725
Co1 Co 0.0000 0.5000 0.7424



Entry 8:
# Np4Se3S (PBE, optimized geometry)
# Distance to the lowest polymorph of the same formula   0.021 eV per formula unit
# Formation energy from raw total energies   -842 kJ/mol of formula units
# Magnetic moment   8.59 μB/f.u.
# Uncorrected energy   -9.38 eV/atom
data_Np4Se3S
_cell_length_a 5.7331
_cell_length_b 5.7331
_cell_length_c 5.7331
_cell_angle_alpha 90.00
_cell_angle_beta 90.00
_cell_angle_gamma 90.00
_symmetry_space_group_name_H-M 'P m -3 m'
_symmetry_Int_Tables_number 221
_symmetry_space_group_name_Hall '-P 4 2 3'
loop_
_atom_site_label
_atom_site_type_symbol
_atom_site_fract_x
_atom_site_fract_y
_atom_site_fract_z
Np1 Np 0.0000 0.0000 0.0000
Np2 Np 0.0000 0.5000 0.5000
Se1 Se 0.0000 0.0000 0.5000
S1 S 0.5000 0.5000 0.5000



Entry 9:
# MgScOs2 (PBE, optimized geometry)
# Formation enthalpy at 0 K   0.090 eV/atom
# Magnetic moment   0.00 μB/f.u.
# Uncorrected energy   -7.51 eV/atom
data_MgScOs2
_cell_length_a 2.8556
_cell_length_b 4.4844
_cell_length_c 5.1872
_cell_angle_alpha 90.00
_cell_angle_beta 102.39
_cell_angle_gamma 90.00
_symmetry_space_group_name_H-M 'P 1 m 1'
_symmetry_Int_Tables_number 6
loop_
_symmetry_equiv_pos_as_xyz
'x,y,z'
'x,-y,z'
loop_
_atom_site_label
_atom_site_type_symbol
_atom_site_fract_x
_atom_site_fract_y
_atom_site_fract_z
Mg1 Mg 0.0000 0.0000 0.0000
Sc1 Sc 0.3618 0.5000 0.7707
Os1 Os 0.5812 0.0000 0.4715
Os2 Os 0.8963 0.5000 0.2847



Entry 10:
# Sr2MgGa4Sn3 (PBE, optimized geometry)
# Formation enthalpy at 0 K   -0.315 eV/atom
# Magnetic moment   0.00 μB/f.u.
# Uncorrected energy   -3.22 eV/atom
data_Sr2MgGa4Sn3
_cell_length_a 4.7023
_cell_length_b 4.7023
_cell_length_c 11.9767
_cell_angle_alpha 90.00
_cell_angle_beta 90.00
_cell_angle_gamma 90.00
_symmetry_space_group_name_H-M 'P -4 m 2'
_symmetry_Int_Tables_number 115
loop_
_symmetry_equiv_pos_as_xyz
'x,y,z'
'y,-x,-z'
'-x,-y,z'
'-y,x,-z'
'-x,y,z'
'-y,-x,-z'
'x,-y,z'
'y,x,-z'
loop_
_atom_site_label
_atom_site_type_symbol
_atom_site_fract_x
_atom_site_fract_y
_atom_site_fract_z
Sr1 Sr 0.0000 0.5000 0.2500
Mg1 Mg 0.0000 0.0000 0.5000
Ga1 Ga 0.0000 0.0000 0.0000
Ga2 Ga 0.0000 0.5000 0.6352
Ga3 Ga 0.5000 0.5000 0.0000
Sn1 Sn 0.0000 0.5000 0.8676
Sn2 Sn 0.5000 0.5000 0.5000



Number 6 is which compound? TiBiHPd2